Below is a PBEsol-optimized structure of CaDyRh2, with properties calculated at the SCAN level.

POSCAR file:
```
CaDyRh2
1.0
0.000 3.348 3.348
3.348 0.000 3.348
3.348 3.348 0.000
Ca Dy Rh
1 1 2
Cartesian
0.000 0.000 0.000
3.348 3.348 3.348
1.674 1.674 1.674
5.022 5.022 5.022
```

Output
The value obtained for the formation energy is -0.68 eV per atom.



Below is a PBEsol-optimized structure of Bi3AsPt, with properties calculated at the SCAN level.

POSCAR file:
```
Bi3AsPt
1.0
5.325 0.000 0.000
0.000 5.325 0.000
0.000 0.000 5.325
Bi As Pt
3 1 1
Cartesian
0.000 0.000 2.663
0.000 2.663 0.000
2.663 0.000 0.000
2.663 2.663 2.663
0.000 0.000 0.000
```

Output
The value obtained for the formation energy is 0.60 eV per atom.



Below is a PBEsol-optimized structure of BaTaIn2, with properties calculated at the SCAN level.

POSCAR file:
```
BaTaIn2
1.0
3.518 -4.497 0.000
3.518 4.497 0.000
0.000 0.000 3.111
Ba Ta In
1 1 2
Cartesian
0.000 0.000 0.000
3.518 0.000 0.000
1.759 2.249 1.556
1.759 -2.249 1.556
```

Output
Its distance to the lowest polymorph of the same formula is 0.188 eV per atom. The value obtained for the formation energy is 0.46 eV per atom.